Record 1
This record from the Alexandria database describes a relaxed AgH12Pt7 crystal. The functional is GGA-PBE. Values from VASP.

Results
The magnetization comes out at 0.000 μB per cell. The electronic total energy comes out at -4.146 eV/atom. As for the density of states at the Fermi level: 1.89 states/eV per cell.

Structure (Quantum ESPRESSO input):
```
&SYSTEM
  ibrav = 0, nat = 20, ntyp = 3
/
ATOMIC_SPECIES
Ag 107.87 Ag.upf
H 1.01 H.upf
Pt 195.08 Pt.upf
CELL_PARAMETERS angstrom
3.8432 2.2189 3.5282
-3.8432 2.2189 3.5282
0.0000 -4.4377 3.5282
ATOMIC_POSITIONS angstrom
Ag 0.0000 0.0000 0.0000
H -3.0898 0.4897 4.7637
H -1.9691 -2.4310 5.8208
H -0.9668 -1.3450 4.3211
H 1.1208 -2.9208 4.7637
H -1.6482 0.1647 6.2635
H -0.6815 1.5098 4.3211
H 0.6815 -1.5098 6.2635
H 1.6482 -0.1647 4.3211
H -1.1208 2.9208 5.8208
H 0.9668 1.3450 6.2635
H 1.9691 2.4310 4.7637
H 3.0898 -0.4898 5.8208
Pt -1.5783 0.4433 2.9877
Pt 0.4053 -1.5885 2.9877
Pt -1.1730 -1.1452 7.5969
Pt 0.0000 0.0000 5.2923
Pt 1.1730 1.1452 2.9877
Pt -0.4053 1.5885 7.5969
Pt 1.5783 -0.4433 7.5969
```

***

Record 2
This record from the Alexandria database describes a relaxed Ag5H4Pt4 crystal. The functional is GGA-PBE. Values from VASP.

Results
The magnetization comes out at 0.000 μB per cell. The electronic total energy comes out at -3.925 eV/atom. As for the density of states at the Fermi level: 4.32 states/eV per cell.

Structure (Quantum ESPRESSO input):
```
&SYSTEM
  ibrav = 0, nat = 13, ntyp = 3
/
ATOMIC_SPECIES
Ag 107.87 Ag.upf
H 1.01 H.upf
Pt 195.08 Pt.upf
CELL_PARAMETERS angstrom
-5.4813 5.4813 1.4297
5.4813 -5.4813 1.4297
5.4813 5.4813 -1.4297
ATOMIC_POSITIONS angstrom
Ag 0.0000 0.0000 0.0000
Ag 4.0450 3.3444 0.0000
Ag 2.1369 -1.4363 1.4297
Ag 3.3444 6.9177 0.0000
Ag 1.4363 2.1369 1.4297
H 2.8773 0.8269 0.0000
H 4.6544 -2.6040 1.4297
H 0.8269 8.0853 0.0000
H 2.6040 4.6544 1.4297
Pt 6.2331 1.5863 0.0000
Pt 1.5863 4.7296 0.0000
Pt 3.8950 0.7518 1.4297
Pt -0.7518 3.8950 1.4297
```

***

Record 3
This record from the Alexandria database describes a relaxed AgH3Pt crystal. The functional is GGA-PBE. Values from VASP.

Results
The magnetization comes out at 0.000 μB per cell. As for the density of states at the Fermi level: 0.60 states/eV per cell. For the energy above the lowest structure with this stoichiometry, the calculation gives 0.0000 eV per atom.

Structure (Quantum ESPRESSO input):
```
&SYSTEM
  ibrav = 0, nat = 5, ntyp = 3
/
ATOMIC_SPECIES
Ag 107.87 Ag.upf
H 1.01 H.upf
Pt 195.08 Pt.upf
CELL_PARAMETERS angstrom
3.5982 0.0000 0.0000
0.0000 3.5982 0.0000
0.0000 0.0000 3.5982
ATOMIC_POSITIONS angstrom
Ag 0.0000 0.0000 0.0000
H 0.0000 1.7991 1.7991
H 1.7991 0.0000 1.7991
H 1.7991 1.7991 0.0000
Pt 1.7991 1.7991 1.7991
```